The following is a DFT calculation (PBE) of a relaxed Ag4TeBr crystal.

Lattice parameters (Å, degrees): 7.7775 7.7775 7.7775 115.61 115.61 97.79
With the nearest neighbours (Å) after each atom.
Atoms (fractional coordinates):
1 Ag 0.1519 0.4834 0.6685  2 Br 2.75-3.01, 1 Ag 2.79, 1 Te 2.84
2 Ag 0.2334 0.0649 0.8315  2 Br 2.75-3.01, 1 Ag 2.79, 1 Te 2.84
3 Ag 0.2334 0.4019 0.1685  2 Br 2.75-3.01, 1 Ag 2.79, 1 Te 2.84
4 Ag 0.3312 0.0000 0.3312  2 Te 2.75-2.84, 1 Ag 2.80, 1 Br 2.97
5 Ag 0.6688 0.0000 0.6688  2 Te 2.75-2.84, 1 Ag 2.80, 1 Br 2.97
6 Ag 0.7500 0.5812 0.8312  2 Te 2.75-2.84, 1 Ag 2.80, 1 Br 2.97
7 Ag 0.7500 0.9188 0.1688  2 Te 2.75-2.84, 1 Ag 2.80, 1 Br 2.97
8 Ag 0.8149 0.4834 0.3315  2 Br 2.75-3.01, 1 Ag 2.79, 1 Te 2.84
9 Te 0.7418 0.2418 0.5000  6 Ag 2.75-2.84
10 Te 0.9918 0.9918 0.0000  6 Ag 2.75-2.84
11 Br 0.2441 0.7441 0.5000  6 Ag 2.75-3.01
12 Br 0.4941 0.4941 0.0000  6 Ag 2.75-3.01

## Properties
Space group: No. 109
Formation energy (no corrections), eV/atom: 0.185

***

The following is a DFT calculation (PBE) of a relaxed Sm2YSn9 crystal.

Lattice parameters (Å, degrees): 4.8143 4.8143 13.7947 90.00 90.00 90.00
With the nearest neighbours (Å) after each atom.
Atoms (fractional coordinates):
1 Sm 0.0000 0.0000 0.1671  12 Sn 3.33-3.40
2 Sm 0.0000 0.0000 0.8329  12 Sn 3.33-3.40
3 Y 0.0000 0.0000 0.5000  12 Sn 3.31-3.40
4 Sn 0.0000 0.5000 0.0000  4 Sm 3.33, 8 Sn 3.34-3.40
5 Sn 0.0000 0.5000 0.3353  8 Sn 3.31-3.40, 2 Y 3.31, 2 Sm 3.34
6 Sn 0.0000 0.5000 0.6647  8 Sn 3.31-3.40, 2 Y 3.31, 2 Sm 3.34
7 Sn 0.5000 0.0000 0.0000  4 Sm 3.33, 8 Sn 3.34-3.40
8 Sn 0.5000 0.0000 0.3353  8 Sn 3.31-3.40, 2 Y 3.31, 2 Sm 3.34
9 Sn 0.5000 0.0000 0.6647  8 Sn 3.31-3.40, 2 Y 3.31, 2 Sm 3.34
10 Sn 0.5000 0.5000 0.1677  8 Sn 3.34, 4 Sm 3.40
11 Sn 0.5000 0.5000 0.5000  8 Sn 3.31, 4 Y 3.40
12 Sn 0.5000 0.5000 0.8323  8 Sn 3.34, 4 Sm 3.40

## Properties
Space group: No. 123
Total energy, Ry per atom: -0.3519